1.
Entry from the Alexandria database: a relaxed structure of KMgZnSn2 (GGA-PBE).

## Properties
DOS(E_F) in states/eV/f.u.: 1.1

Geometry as CIF:
```
data_KMgZnSn2
_space_group_name_H-M_alt 'P 1'
_space_group_IT_number 1
_space_group_name_Hall 'P 1'
_cell_length_a 6.9943
_cell_length_b 6.9943
_cell_length_c 6.9943
_cell_angle_alpha 140.13
_cell_angle_beta 140.13
_cell_angle_gamma 57.66
loop_
_atom_site_label
_atom_site_fract_x
_atom_site_fract_y
_atom_site_fract_z
K1 0.0000 0.0000 0.0000
Mg1 0.2500 0.7500 0.5000
Zn1 0.7500 0.2500 0.5000
Sn1 0.3816 0.3816 0.0000
Sn2 0.6184 0.6184 0.0000
```



2.
Entry from the Alexandria database: a relaxed structure of KSrMg (GGA-PBE).

## Properties
DOS(E_F) in states/eV/f.u.: 2.6

Geometry as CIF:
```
data_KSrMg
_space_group_name_H-M_alt 'P 1'
_space_group_IT_number 1
_space_group_name_Hall 'P 1'
_cell_length_a 6.2160
_cell_length_b 6.2160
_cell_length_c 4.0763
_cell_angle_alpha 90.00
_cell_angle_beta 90.00
_cell_angle_gamma 120.00
loop_
_atom_site_label
_atom_site_fract_x
_atom_site_fract_y
_atom_site_fract_z
K1 0.0000 0.0000 0.0000
Sr1 0.3333 0.6667 0.6068
Mg1 0.6667 0.3333 0.2426
```



3.
Entry from the Alexandria database: a relaxed structure of K2SrMg (GGA-PBE).

## Properties
DOS(E_F) in states/eV/f.u.: 3.8

Geometry as CIF:
```
data_K2SrMg
_space_group_name_H-M_alt 'P 1'
_space_group_IT_number 1
_space_group_name_Hall 'P 1'
_cell_length_a 8.0125
_cell_length_b 8.0125
_cell_length_c 8.0125
_cell_angle_alpha 147.73
_cell_angle_beta 128.18
_cell_angle_gamma 62.38
loop_
_atom_site_label
_atom_site_fract_x
_atom_site_fract_y
_atom_site_fract_z
K1 0.0000 0.0000 0.0000
K2 0.7162 0.2162 0.5000
Sr1 0.2886 0.7886 0.5000
Mg1 0.4935 0.4935 0.0000
```



4.
Entry from the Alexandria database: a relaxed structure of K2SrMg (GGA-PBE).

## Properties
DOS(E_F) in states/eV/f.u.: 4.2

Geometry as CIF:
```
data_K2SrMg
_space_group_name_H-M_alt 'P 1'
_space_group_IT_number 1
_space_group_name_Hall 'P 1'
_cell_length_a 13.5116
_cell_length_b 13.5116
_cell_length_c 13.5116
_cell_angle_alpha 18.53
_cell_angle_beta 18.53
_cell_angle_gamma 18.53
loop_
_atom_site_label
_atom_site_fract_x
_atom_site_fract_y
_atom_site_fract_z
K1 0.0000 0.0000 0.0000
K2 0.2311 0.2311 0.2311
Sr1 0.4694 0.4694 0.4694
Mg1 0.7390 0.7390 0.7390
```



5.
Entry from the Alexandria database: a relaxed structure of K2SrMg (GGA-PBE).

## Properties
DOS(E_F) in states/eV/f.u.: 3.6

Geometry as CIF:
```
data_K2SrMg
_space_group_name_H-M_alt 'P 1'
_space_group_IT_number 1
_space_group_name_Hall 'P 1'
_cell_length_a 8.3384
_cell_length_b 8.3384
_cell_length_c 6.3720
_cell_angle_alpha 112.24
_cell_angle_beta 112.24
_cell_angle_gamma 29.86
loop_
_atom_site_label
_atom_site_fract_x
_atom_site_fract_y
_atom_site_fract_z
K1 0.2093 0.2093 0.2096
K2 0.7907 0.7907 0.7904
Sr1 0.0000 0.0000 0.5000
Mg1 0.5000 0.5000 0.0000
```



6.
Entry from the Alexandria database: a relaxed structure of K2SrMg (GGA-PBE).

## Properties
DOS(E_F) in states/eV/f.u.: 3.8

Geometry as CIF:
```
data_K2SrMg
_space_group_name_H-M_alt 'P 1'
_space_group_IT_number 1
_space_group_name_Hall 'P 1'
_cell_length_a 4.1221
_cell_length_b 6.9969
_cell_length_c 7.0140
_cell_angle_alpha 90.00
_cell_angle_beta 96.48
_cell_angle_gamma 90.00
loop_
_atom_site_label
_atom_site_fract_x
_atom_site_fract_y
_atom_site_fract_z
K1 0.2111 0.0000 0.2654
K2 0.7889 0.0000 0.7346
Sr1 0.5000 0.5000 0.0000
Mg1 0.0000 0.5000 0.5000
```



7.
Entry from the Alexandria database: a relaxed structure of KSrMg (GGA-PBE).

## Properties
DOS(E_F) in states/eV/f.u.: 2.6

Geometry as CIF:
```
data_KSrMg
_space_group_name_H-M_alt 'P 1'
_space_group_IT_number 1
_space_group_name_Hall 'P 1'
_cell_length_a 6.0993
_cell_length_b 6.0993
_cell_length_c 6.0993
_cell_angle_alpha 60.00
_cell_angle_beta 60.00
_cell_angle_gamma 60.00
loop_
_atom_site_label
_atom_site_fract_x
_atom_site_fract_y
_atom_site_fract_z
K1 0.0000 0.0000 0.0000
Sr1 0.5000 0.5000 0.5000
Mg1 0.2500 0.2500 0.2500
```



8.
Entry from the Alexandria database: a relaxed structure of K2SrMg (GGA-PBE).

## Properties
DOS(E_F) in states/eV/f.u.: 3.5

Geometry as CIF:
```
data_K2SrMg
_space_group_name_H-M_alt 'P 1'
_space_group_IT_number 1
_space_group_name_Hall 'P 1'
_cell_length_a 8.5741
_cell_length_b 8.5741
_cell_length_c 8.5741
_cell_angle_alpha 100.85
_cell_angle_beta 100.85
_cell_angle_gamma 128.57
loop_
_atom_site_label
_atom_site_fract_x
_atom_site_fract_y
_atom_site_fract_z
K1 0.0749 0.1250 0.4499
K2 0.3750 0.9251 0.0501
K3 0.6751 0.6250 0.5501
K4 0.8750 0.3249 0.9499
Sr1 0.2500 0.7500 0.5000
Sr2 0.5000 0.5000 0.0000
Mg1 0.0000 0.0000 0.0000
Mg2 0.7500 0.2500 0.5000
```



9.
Entry from the Alexandria database: a relaxed structure of K2SrMg (GGA-PBE).

## Properties
DOS(E_F) in states/eV/f.u.: 3.2

Geometry as CIF:
```
data_K2SrMg
_space_group_name_H-M_alt 'P 1'
_space_group_IT_number 1
_space_group_name_Hall 'P 1'
_cell_length_a 6.5350
_cell_length_b 6.5350
_cell_length_c 6.5350
_cell_angle_alpha 119.51
_cell_angle_beta 119.51
_cell_angle_gamma 90.86
loop_
_atom_site_label
_atom_site_fract_x
_atom_site_fract_y
_atom_site_fract_z
K1 0.0000 0.0000 0.0000
K2 0.7500 0.2500 0.5000
Sr1 0.5000 0.5000 0.0000
Mg1 0.2500 0.7500 0.5000
```



10.
Entry from the Alexandria database: a relaxed structure of K2SrMg (GGA-PBE).

## Properties
DOS(E_F) in states/eV/f.u.: 3.0

Geometry as CIF:
```
data_K2SrMg
_space_group_name_H-M_alt 'P 1'
_space_group_IT_number 1
_space_group_name_Hall 'P 1'
_cell_length_a 4.7301
_cell_length_b 6.1705
_cell_length_c 6.8466
_cell_angle_alpha 90.00
_cell_angle_beta 90.00
_cell_angle_gamma 90.00
loop_
_atom_site_label
_atom_site_fract_x
_atom_site_fract_y
_atom_site_fract_z
K1 0.0000 0.0000 0.0000
K2 0.5000 0.5000 0.0000
Sr1 0.0000 0.5000 0.5000
Mg1 0.5000 0.0000 0.5000
```



11.
Entry from the Alexandria database: a relaxed structure of KSrMg4 (GGA-PBE).

## Properties
DOS(E_F) in states/eV/f.u.: 5.4

Geometry as CIF:
```
data_KSrMg4
_space_group_name_H-M_alt 'P 1'
_space_group_IT_number 1
_space_group_name_Hall 'P 1'
_cell_length_a 6.5085
_cell_length_b 6.5085
_cell_length_c 6.5085
_cell_angle_alpha 60.00
_cell_angle_beta 60.00
_cell_angle_gamma 60.00
loop_
_atom_site_label
_atom_site_fract_x
_atom_site_fract_y
_atom_site_fract_z
K1 0.0000 0.0000 0.0000
Sr1 0.2500 0.2500 0.2500
Mg1 0.1258 0.6247 0.6247
Mg2 0.6247 0.1258 0.6247
Mg3 0.6247 0.6247 0.1258
Mg4 0.6247 0.6247 0.6247
```



12.
Entry from the Alexandria database: a relaxed structure of KSrMg14 (GGA-PBE).

## Properties
DOS(E_F) in states/eV/f.u.: 8.0

Geometry as CIF:
```
data_KSrMg14
_space_group_name_H-M_alt 'P 1'
_space_group_IT_number 1
_space_group_name_Hall 'P 1'
_cell_length_a 6.7842
_cell_length_b 6.7842
_cell_length_c 10.6992
_cell_angle_alpha 90.00
_cell_angle_beta 90.00
_cell_angle_gamma 120.00
loop_
_atom_site_label
_atom_site_fract_x
_atom_site_fract_y
_atom_site_fract_z
K1 0.0000 0.0000 0.0000
Sr1 0.0000 0.0000 0.5000
Mg1 0.0060 0.5030 0.0000
Mg2 0.0107 0.5054 0.5000
Mg3 0.1770 0.3541 0.2504
Mg4 0.1770 0.3541 0.7496
Mg5 0.1770 0.8230 0.2504
Mg6 0.1770 0.8230 0.7496
Mg7 0.4946 0.5054 0.5000
Mg8 0.4946 0.9893 0.5000
Mg9 0.4970 0.5030 0.0000
Mg10 0.4970 0.9940 0.0000
Mg11 0.6459 0.8230 0.2504
Mg12 0.6459 0.8230 0.7496
Mg13 0.6667 0.3333 0.2526
Mg14 0.6667 0.3333 0.7474
```



Looking at ΔE_f for the records above, in order, we have -0.17; 0.20; 0.18; 0.15; 0.14; 0.19; 0.26; 0.27; 0.17; 0.16; 0.04; 0.11 eV per atom.
Looking at DFT total energy for the records above, in order, we have -2.564; -1.255; -1.189; -1.218; -1.232; -1.179; -1.201; -1.098; -1.195; -1.203; -1.490; -1.463 eV/atom.